The following is a DFT calculation (PBE) of a relaxed Ce2NdTl3Se6 crystal.

abc: 7.5210 13.0272 8.1280
angles: 90.00 107.96 90.00
Space group C2/m (No. 12)
Inequivalent atoms, fractional coordinates:
1 Ce 0.0000 0.1668 0.0000 [4 per cell]
2 Nd 0.0000 0.5000 0.0000 [2 per cell]
3 Tl 0.0000 0.0000 0.5000 [2 per cell]
4 Tl 0.0000 0.3341 0.5000 [4 per cell]
5 Se 0.2360 0.0000 0.2095 [4 per cell]
6 Se 0.2368 0.3331 0.2097 [8 per cell]

Calculated values
The value obtained for the electronic total energy is -5.059 eV/atom. The density of states at the Fermi level is 13.199 states/eV/f.u.

=====

The following is a DFT calculation (PBE) of a relaxed KMgFe2Co crystal.

abc: 4.9243 4.9243 4.7150
angles: 90.00 90.00 90.00
Space group P4/mmm (No. 123)
Inequivalent atoms, fractional coordinates:
1 K 0.0000 0.0000 0.0000 [1 per cell]
2 Mg 0.5000 0.5000 0.5000 [1 per cell]
3 Fe 0.0000 0.5000 0.5000 [2 per cell]
4 Co 0.5000 0.5000 0.0000 [1 per cell]

Calculated values
The value obtained for the electronic total energy is -3.859 eV/atom. The formation enthalpy at 0 K is 1485 meV per atom. The density of states at the Fermi level is 7.565 states/eV/f.u.

=====

> density of states at the Fermi level of number 1 (Ce2NdTl3Se6)?

13.199 states/eV/f.u.

=====

> What is the electronic total energy in the first record?

-5.059 eV/atom

=====

> Number 1 is which compound?

Ce2NdTl3Se6

=====

> What is the density of states at the Fermi level in the second record?

7.565 states/eV/f.u.